1.
Na5PuO4 (GGA-PBE, relaxed); ΔE_f (raw) = -1.739 eV/atom
1.0
3.491 0.000 0.000
0.000 6.858 -0.146
-1.746 -1.117 7.134
Na Pu O
5 1 4
direct
0.838 0.697 0.676
0.824 0.144 0.648
0.176 0.856 0.352
0.500 0.500 0.000
0.162 0.303 0.324
0.500 0.000 0.000
0.351 0.933 0.702
0.004 0.779 0.009
0.649 0.067 0.298
0.996 0.221 0.991

2.
Ac8Si5Au (GGA-PBE, relaxed); ΔE_f (raw) = -0.532 eV/atom
1.0
-7.415 -2.884 -2.660
5.535 -0.149 -6.302
2.704 -4.870 6.273
Ac Si Au
8 5 1
direct
0.122 0.751 0.009
0.991 0.113 0.742
0.749 0.245 0.368
0.632 0.382 0.877
0.496 0.618 0.251
0.628 0.887 0.878
0.258 0.249 0.372
0.123 0.755 0.504
0.000 0.372 0.125
0.875 0.875 0.248
0.752 0.628 0.627
0.500 0.000 0.500
0.373 0.125 0.000
0.250 0.500 0.750

3.
Li4Zr3 (GGA-PBE, relaxed); calculated formation energy = 270 kJ/mol of formula units
1.0
-4.486 -3.547 -0.039
4.045 -0.461 -4.017
2.762 -3.527 3.186
Li Zr
4 3
direct
0.000 0.000 0.264
0.000 0.000 0.736
0.667 0.333 0.500
0.333 0.667 0.500
0.000 0.500 0.000
0.500 0.500 0.000
0.500 0.000 0.000

4.
SnGe2RhS (GGA-PBE, relaxed); ΔE_f (raw) = 1.140 eV/atom
1.0
-3.059 -2.087 3.687
2.482 -4.290 -0.370
3.338 1.613 3.683
S Ge Rh Sn
1 2 1 1
direct
0.500 0.500 0.500
0.000 0.000 0.500
0.500 0.000 0.000
0.000 0.500 0.000
0.000 0.000 0.000